(a)
# RbVCuF6 | Alexandria via LeMat-Bulk | GGA+U | relaxed
data_RbVCuF6
_symmetry_space_group_name_H-M 'P n m a'
_symmetry_Int_Tables_number 62
_cell_length_a 6.945
_cell_length_b 7.610
_cell_length_c 10.310
_cell_angle_alpha 90.00
_cell_angle_beta 90.00
_cell_angle_gamma 90.00
loop_
_symmetry_equiv_pos_as_xyz
'x,y,z'
'-x,-y,-z'
'-x+1/2,-y,z+1/2'
'x+1/2,y,-z+1/2'
'x+1/2,-y+1/2,-z+1/2'
'-x+1/2,y+1/2,z+1/2'
'-x,y+1/2,-z'
'x,-y+1/2,z'
loop_
_atom_site_label
_atom_site_type_symbol
_atom_site_fract_x
_atom_site_fract_y
_atom_site_fract_z
Rb1 Rb 0.003 0.250 0.116
V1 V 0.000 0.000 0.500
Cu1 Cu 0.185 0.250 0.761
F1 F 0.073 0.750 0.174
F2 F 0.079 0.250 0.471
F3 F 0.123 0.501 0.668
F4 F 0.244 0.565 0.423
# DOS(E_F)	15.70	states/eV per cell
# calculated density	3.83	g/cm³


(b)
# RbVCuF6 | Alexandria via LeMat-Bulk | GGA+U | relaxed
data_RbVCuF6
_symmetry_space_group_name_H-M 'C 1 2 1'
_symmetry_Int_Tables_number 5
_cell_length_a 5.687
_cell_length_b 9.131
_cell_length_c 6.014
_cell_angle_alpha 90.00
_cell_angle_beta 92.77
_cell_angle_gamma 90.00
loop_
_symmetry_equiv_pos_as_xyz
'x,y,z'
'-x,y,-z'
'x+1/2,y+1/2,z'
'-x+1/2,y+1/2,-z'
loop_
_atom_site_label
_atom_site_type_symbol
_atom_site_fract_x
_atom_site_fract_y
_atom_site_fract_z
Rb1 Rb 0.000 0.000 0.000
V1 V 0.000 0.344 0.500
Cu1 Cu 0.000 0.684 0.500
F1 F 0.116 0.520 0.681
F2 F 0.156 0.217 0.710
F3 F 0.190 0.829 0.661
# DOS(E_F)	5.25	states/eV per cell
# calculated density	3.34	g/cm³


Most stable: (a). Least stable: (b).